1.
Computed, not measured: a relaxed structure of Ho2PdPb at the PBE-GGA level of DFT.

Computed properties:
Its space group is No. 166. For the formation enthalpy at 0 K, the calculation gives -0.540 eV per atom.

Cell: 3.8736 3.8736 8.6779 Å, 77.10 77.10 60.00°
With the nearest neighbours (Å) after each atom.
Element x y z (fractional)
Pb 0.5000 0.5000 0.5000  6 Ho 3.34
Ho 0.2652 0.2652 0.2044  3 Pd 2.82
Ho 0.7348 0.7348 0.7956  3 Pd 2.82
Pd 0.0000 0.0000 0.0000  6 Ho 2.82



2.
Computed, not measured: a relaxed structure of HoPd15Pb4 at the PBE-GGA level of DFT.

Computed properties:
Its space group is No. 123. For the formation enthalpy at 0 K, the calculation gives -0.412 eV per atom.

Cell: 4.1112 4.1112 20.5574 Å, 90.00 90.00 90.00°
With the nearest neighbours (Å) after each atom.
Element x y z (fractional)
Ho 0.0000 0.0000 0.0000  12 Pd 2.91
Pd 0.5000 0.5000 0.0000  4 Ho 2.91, 8 Pd 2.91
Pd 0.5000 0.5000 0.2005  8 Pd 2.90-2.91, 4 Pb 2.91
Pd 0.5000 0.5000 0.3999  4 Pb 2.91, 8 Pd 2.91
Pd 0.5000 0.5000 0.6001  4 Pb 2.91, 8 Pd 2.91
Pd 0.5000 0.5000 0.7995  8 Pd 2.90-2.91, 4 Pb 2.91
Pd 0.5000 0.0000 0.1001  2 Pb 2.91, 8 Pd 2.91, 2 Ho 2.91
Pd 0.5000 0.0000 0.2999  8 Pd 2.90-2.91, 4 Pb 2.90-2.91
Pd 0.5000 0.0000 0.5000  4 Pb 2.91, 8 Pd 2.91
Pd 0.5000 0.0000 0.7001  8 Pd 2.90-2.91, 4 Pb 2.90-2.91
Pd 0.5000 0.0000 0.8999  2 Pb 2.91, 8 Pd 2.91, 2 Ho 2.91
Pd 0.0000 0.5000 0.1001  2 Pb 2.91, 8 Pd 2.91, 2 Ho 2.91
Pd 0.0000 0.5000 0.2999  8 Pd 2.90-2.91, 4 Pb 2.90-2.91
Pd 0.0000 0.5000 0.5000  4 Pb 2.91, 8 Pd 2.91
Pd 0.0000 0.5000 0.7001  8 Pd 2.90-2.91, 4 Pb 2.90-2.91
Pd 0.0000 0.5000 0.8999  2 Pb 2.91, 8 Pd 2.91, 2 Ho 2.91
Pb 0.0000 0.0000 0.2001  12 Pd 2.90-2.91
Pb 0.0000 0.0000 0.4000  12 Pd 2.91
Pb 0.0000 0.0000 0.6000  12 Pd 2.91
Pb 0.0000 0.0000 0.7999  12 Pd 2.90-2.91



3.
Computed, not measured: a relaxed structure of Ho2PdPb at the PBE-GGA level of DFT.

Computed properties:
Its space group is No. 123. For the formation enthalpy at 0 K, the calculation gives -0.669 eV per atom.

Cell: 3.5725 3.5725 7.7316 Å, 90.00 90.00 90.00°
With the nearest neighbours (Å) after each atom.
Element x y z (fractional)
Pb 0.5000 0.5000 0.5000  8 Ho 3.35, 4 Pb 3.57
Ho 0.0000 0.0000 0.7838  4 Pd 3.03, 1 Ho 3.34, 4 Pb 3.35
Ho 0.0000 0.0000 0.2162  4 Pd 3.03, 1 Ho 3.34, 4 Pb 3.35
Pd 0.5000 0.5000 0.0000  8 Ho 3.03



4.
Computed, not measured: a relaxed structure of Ho4Pd2Pb at the PBE-GGA level of DFT.

Computed properties:
Its space group is No. 166. For the formation enthalpy at 0 K, the calculation gives -0.532 eV per atom.

Cell: 4.6451 4.6451 10.6222 Å, 77.37 77.37 60.00°
With the nearest neighbours (Å) after each atom.
Element x y z (fractional)
Ho 0.7008 0.7008 0.8976  4 Pd 2.84-3.05
Ho 0.8864 0.8864 0.3409  3 Pd 3.08, 3 Pb 3.14
Ho 0.2992 0.2992 0.1024  4 Pd 2.84-3.05
Ho 0.1136 0.1136 0.6591  3 Pd 3.08, 3 Pb 3.14
Pd 0.6019 0.6019 0.1944  7 Ho 2.84-3.08, 1 Pb 3.14
Pd 0.3981 0.3981 0.8056  7 Ho 2.84-3.08, 1 Pb 3.14
Pb 0.5000 0.5000 0.5000  6 Ho 3.14, 2 Pd 3.14



5.
Computed, not measured: a relaxed structure of HoPd6Pb at the PBE-GGA level of DFT.

Computed properties:
Its space group is No. 123. For the formation enthalpy at 0 K, the calculation gives -0.594 eV per atom.

Cell: 4.1197 4.1197 8.1927 Å, 90.00 90.00 90.00°
With the nearest neighbours (Å) after each atom.
Element x y z (fractional)
Ho 0.0000 0.0000 0.0000  12 Pd 2.91
Pd 0.5000 0.5000 0.0000  8 Pd 2.91, 4 Ho 2.91
Pd 0.5000 0.5000 0.5000  8 Pd 2.90, 4 Pb 2.91
Pd 0.5000 0.0000 0.2506  2 Pb 2.90, 8 Pd 2.90-2.91, 2 Ho 2.91
Pd 0.5000 0.0000 0.7494  8 Pd 2.90-2.91, 2 Pb 2.90, 2 Ho 2.91
Pd 0.0000 0.5000 0.2506  2 Pb 2.90, 8 Pd 2.90-2.91, 2 Ho 2.91
Pd 0.0000 0.5000 0.7494  8 Pd 2.90-2.91, 2 Pb 2.90, 2 Ho 2.91
Pb 0.0000 0.0000 0.5000  12 Pd 2.90-2.91



6.
Computed, not measured: a relaxed structure of HoPd2Pb2 at the PBE-GGA level of DFT.

Computed properties:
Its space group is No. 11. For the formation enthalpy at 0 K, the calculation gives -0.542 eV per atom.

Cell: 4.8940 4.8115 10.0101 Å, 90.03 90.00 90.00°
With the nearest neighbours (Å) after each atom.
Element x y z (fractional)
Ho 0.7500 0.2498 0.6728  6 Pd 2.90-3.04
Ho 0.2500 0.7502 0.3272  6 Pd 2.90-3.04
Pd 0.2500 0.2512 0.4931  4 Pb 2.92-2.97, 4 Ho 2.92-3.04
Pd 0.7500 0.7495 0.1722  2 Ho 2.90, 6 Pb 2.90-3.03
Pd 0.2500 0.2505 0.8278  2 Ho 2.90, 6 Pb 2.90-3.03
Pd 0.7500 0.7488 0.5069  4 Pb 2.92-2.97, 4 Ho 2.92-3.04
Pb 0.7500 0.2498 0.0057  4 Pd 2.93-3.03
Pb 0.2500 0.7506 0.6660  6 Pd 2.90-2.97
Pb 0.2500 0.7502 0.9943  4 Pd 2.93-3.03
Pb 0.7500 0.2494 0.3340  6 Pd 2.90-2.97